NbSiTeI2 | PBE | relaxed

Energy above the most stable polymorph in this dataset: 0.000 eV/atom
Formation energy (no corrections): 0.614 eV per atom
Space-group type: No. 123

POSCAR file:
```
NbSiTeI2
1.0
5.6134 0.0000 0.0000
0.0000 5.6134 0.0000
0.0000 0.0000 5.4625
I Nb Te Si
2 1 1 1
direct
0.0000 0.5000 0.0000
0.5000 0.0000 0.0000
0.0000 0.0000 0.0000
0.0000 0.0000 0.5000
0.5000 0.5000 0.5000
```


AsF4 | PBE | relaxed

Formation energy (no corrections): -1.424 eV per atom
Space-group type: No. 221

POSCAR file:
```
AsF4
1.0
-2.7960 -1.7167 -2.3280
2.7746 -0.6767 -2.8333
0.8175 -3.5748 1.6543
As F
1 4
direct
0.5000 0.5000 0.5000
0.0000 0.0000 0.0000
0.5000 0.0000 0.5000
0.0000 0.5000 0.5000
0.5000 0.5000 0.0000
```


CsCd3Au2 | PBE | relaxed

Energy above the most stable polymorph in this dataset: 0.000 eV/atom
Formation energy from the elements: -0.203 eV/atom
Space-group type: No. 12

POSCAR file:
```
CsCd3Au2
1.0
4.7816 0.0000 0.0000
-2.3908 8.2267 0.0386
0.0000 -3.6625 8.8016
Cs Cd Au
2 6 4
direct
0.8362 0.6724 0.9207
0.1638 0.3276 0.0793
0.3263 0.6525 0.5692
0.9824 0.9647 0.6718
0.5905 0.1811 0.6693
0.4095 0.8189 0.3307
0.0176 0.0353 0.3282
0.6737 0.3475 0.4308
0.4859 0.9718 0.8478
0.5141 0.0282 0.1522
0.8352 0.6703 0.3872
0.1648 0.3297 0.6128
```


TlHg3Br7 | PBE | relaxed

Formation energy (no corrections): -0.477 eV per atom
Space-group type: No. 12

POSCAR file:
```
TlHg3Br7
1.0
-3.6030 -7.2446 1.1960
1.1836 -7.6224 -5.2031
0.9790 -5.4242 7.4963
Tl Hg Br
1 3 7
direct
0.5000 0.5000 0.5000
0.0000 0.7260 0.2740
0.5000 0.0000 0.0000
0.0000 0.2740 0.7260
0.1190 0.0655 0.0655
0.3473 0.9371 0.4398
0.6527 0.5602 0.0629
0.3473 0.4398 0.9371
0.0000 0.5000 0.5000
0.6527 0.0629 0.5602
0.8810 0.9345 0.9345
```


no.,volume (Å³/cell),spin magnetization (μB/f.u.),total energy (eV/cell)
1,172.1,2.8,-18.7
2,65.1,0.7,-19.3
3,346.9,0.0,-22.7
4,410.0,0.0,-20.2